A crystal of Te2IrSN relaxed with PBEsol, computed with meta-GGA SCAN.

Results
calculated volume: 86.3 Å³/cell
symmetry: P4/mmm (123)
DOS(E_F): 0.405 states/eV per atom
crystal system: tetragonal
formation energy from raw total energies: 1.079 eV per atom
raw total energy: -31.8250 eV per atom

abc: 3.2325 5.1677 5.1677
angles: 90.00 90.00 90.00
Fractional positions:
Te 0.0000 0.0000 0.5000
Te 0.0000 0.5000 0.0000
S 0.0000 0.0000 0.0000
Ir 0.5000 0.5000 0.5000
N 0.5000 0.0000 0.0000